Ca2SbPt: relaxed, PBE-GGA.

Cell lengths 3.676, 3.677, 8.301 Å; angles 90.00, 90.00, 90.17 degrees
Fractional positions:
Ca 0.000 0.000 0.941
Ca 0.500 0.500 0.318
Pt 0.000 0.000 0.554
Sb 0.500 0.500 0.687

Calculated values
Uncorrected formation energy (eV per atom): -0.4563
Crystal system: orthorhombic

=====

Nd2Cd3Hg: relaxed, PBE-GGA.

Cell lengths 3.496, 5.086, 8.735 Å; angles 90.00, 90.00, 90.00 degrees
Fractional positions:
Nd 0.000 0.000 0.495
Nd 0.000 0.500 0.005
Cd 0.500 0.000 0.831
Cd 0.500 0.000 0.163
Cd 0.500 0.500 0.670
Hg 0.500 0.500 0.335

Calculated values
E_form (eV per formula unit): -2.25
Crystal system: orthorhombic

=====

Ca3Mg2Tl: relaxed, PBE-GGA.

Cell lengths 3.950, 3.950, 11.678 Å; angles 90.00, 90.00, 90.00 degrees
Fractional positions:
Ca 0.000 0.000 0.340
Ca 0.000 0.000 0.000
Ca 0.000 0.000 0.660
Mg 0.500 0.500 0.170
Mg 0.500 0.500 0.830
Tl 0.500 0.500 0.500

Calculated values
E_form (eV per formula unit): -1.26
Crystal system: tetragonal

=====

CdAgMo2: relaxed, PBE-GGA.

Cell lengths 10.015, 10.015, 10.015 Å; angles 16.28, 16.28, 16.28 degrees
Fractional positions:
Mo 0.502 0.502 0.502
Mo 0.998 0.998 0.998
Cd 0.750 0.750 0.750
Ag 0.250 0.250 0.250

Calculated values
E_form (eV per formula unit): 2.29
Crystal system: trigonal

=====

Number 1: magnetic moment 0.0 Bohr magnetons per cell. Number 2: magnetic moment 0.0 Bohr magnetons per cell. Number 3: magnetic moment 0.0 Bohr magnetons per cell. Number 4: magnetic moment 0.0 Bohr magnetons per cell.